Here is crystalline ZnFeCl4 at its relaxed geometry from the Alexandria database. Energies are from PBE-GGA.

## Properties
* space-group type: F-43m, No. 216
* raw formation energy: 5.1 eV per formula unit
* E_tot: -2.007 eV/atom

Unit cell a=5.878 b=5.878 c=5.878 alpha=60.00 beta=60.00 gamma=60.00
Fractional positions:
Cl (0.375, 0.375, 0.874)
Cl (0.375, 0.375, 0.375)
Cl (0.874, 0.375, 0.375)
Cl (0.375, 0.874, 0.375)
Zn (0.000, 0.000, 0.000)
Fe (0.750, 0.750, 0.750)

Here is crystalline MnGaPt at its relaxed geometry from the Alexandria database. Energies are from PBE-GGA.

## Properties
* space-group type: P6_3/mmc, No. 194
* ΔE_f: -0.46 eV per atom
* E_tot: -6.543 eV/atom

Unit cell a=4.360 b=4.360 c=5.498 alpha=90.00 beta=90.00 gamma=120.00
Fractional positions:
Ga (0.667, 0.333, 0.250)
Ga (0.333, 0.667, 0.750)
Pt (0.667, 0.333, 0.750)
Pt (0.333, 0.667, 0.250)
Mn (0.000, 0.000, 0.500)
Mn (0.000, 0.000, 0.000)

Here is crystalline ZnSiP at its relaxed geometry from the Alexandria database. Energies are from PBE-GGA.

## Properties
* space-group type: Fmm2, No. 42
* relative energy among the computed polymorphs: 590.9 meV per atom
* raw formation energy: 1.4 eV per formula unit
* E_tot: -3.580 eV/atom

Unit cell a=7.363 b=7.124 c=2.754 alpha=83.97 beta=74.20 gamma=21.84
Fractional positions:
Zn (0.666, 0.666, 0.334)
P (0.988, 0.988, 0.012)
Si (0.346, 0.346, 0.654)

Here is crystalline SiPAu at its relaxed geometry from the Alexandria database. Energies are from PBE-GGA.

## Properties
* space-group type: P-6m2, No. 187
* relative energy among the computed polymorphs: 575.2 meV per atom
* raw formation energy: 1.1 eV per formula unit
* E_tot: -4.327 eV/atom

Unit cell a=4.623 b=4.623 c=2.764 alpha=90.00 beta=90.00 gamma=120.00
Fractional positions:
Au (0.000, 0.000, 0.333)
P (0.667, 0.333, 0.334)
Si (0.333, 0.667, 0.333)

Here is crystalline La4Ru2Rh at its relaxed geometry from the Alexandria database. Energies are from PBE-GGA.

## Properties
* space-group type: Cc, No. 9
* ΔE_f: -0.35 eV per atom
* E_tot: -6.861 eV/atom

Unit cell a=7.489 b=7.599 c=7.967 alpha=108.95 beta=108.38 gamma=108.90
Fractional positions:
La (0.144, 0.784, 0.778)
La (0.116, 0.256, 0.722)
La (0.228, 0.975, 0.342)
La (0.478, 0.376, 0.218)
La (0.735, 0.468, 0.868)
La (0.010, 0.408, 0.282)
La (0.617, 0.850, 0.632)
La (0.635, 0.883, 0.158)
Ru (0.556, 0.106, 0.921)
Ru (0.385, 0.435, 0.579)
Ru (0.237, 0.610, 0.097)
Ru (0.890, 0.763, 0.403)
Rh (0.734, 0.294, 0.500)
Rh (0.984, 0.043, 0.000)

Here is crystalline GdSc2Tl at its relaxed geometry from the Alexandria database. Energies are from PBE-GGA.

## Properties
* space-group type: P4/mmm, No. 123
* relative energy among the computed polymorphs: 0.0 meV per atom
* ΔE_f: -0.19 eV per atom
* E_tot: -7.464 eV/atom

Unit cell a=4.621 b=4.672 c=4.672 alpha=90.00 beta=90.00 gamma=90.00
Fractional positions:
Sc (0.000, 0.500, 0.000)
Sc (0.000, 0.000, 0.500)
Gd (0.500, 0.000, 0.000)
Tl (0.500, 0.500, 0.500)

Here is crystalline RbMg2SbRh at its relaxed geometry from the Alexandria database. Energies are from PBE-GGA.

## Properties
* space-group type: P4/mmm, No. 123
* raw formation energy: 1.3 eV per formula unit
* E_tot: -2.860 eV/atom

Unit cell a=5.594 b=5.066 c=5.594 alpha=90.00 beta=90.00 gamma=90.00
Fractional positions:
Sb (0.000, 0.000, 0.000)
Rb (0.500, 0.500, 0.500)
Mg (0.000, 0.000, 0.500)
Mg (0.500, 0.000, 0.000)
Rh (0.000, 0.500, 0.000)

Here is crystalline PrSm2In9 at its relaxed geometry from the Alexandria database. Energies are from PBE-GGA.

## Properties
* space-group type: P4/mmm, No. 123
* ΔE_f: -0.46 eV per atom
* E_tot: -3.703 eV/atom

Unit cell a=4.702 b=4.702 c=14.108 alpha=90.00 beta=90.00 gamma=90.00
Fractional positions:
Sm (0.000, 0.000, 0.665)
Sm (0.000, 0.000, 0.335)
In (0.500, 0.000, 0.500)
In (0.500, 0.000, 0.169)
In (0.500, 0.000, 0.831)
In (0.000, 0.500, 0.831)
In (0.000, 0.500, 0.169)
In (0.500, 0.500, 0.000)
In (0.000, 0.500, 0.500)
In (0.500, 0.500, 0.666)
In (0.500, 0.500, 0.334)
Pr (0.000, 0.000, 0.000)

Here is crystalline SrRePS2 at its relaxed geometry from the Alexandria database. Energies are from PBE-GGA.

## Properties
* space-group type: P4/mmm, No. 123
* relative energy among the computed polymorphs: 0.0 meV per atom
* raw formation energy: -2.2 eV per formula unit
* E_tot: -5.997 eV/atom

Unit cell a=4.869 b=4.869 c=4.565 alpha=90.00 beta=90.00 gamma=90.00
Fractional positions:
Re (0.000, 0.000, 0.000)
S (0.000, 0.500, 0.000)
S (0.500, 0.000, 0.000)
Sr (0.500, 0.500, 0.500)
P (0.000, 0.000, 0.500)

Here is crystalline ZrMn12 at its relaxed geometry from the Alexandria database. Energies are from PBE-GGA.

## Properties
* space-group type: I4/mmm, No. 139
* ΔE_f: -0.05 eV per atom
* E_tot: -9.168 eV/atom

Unit cell a=4.584 b=6.248 c=6.248 alpha=82.27 beta=68.48 gamma=68.48
Fractional positions:
Mn (0.500, 0.500, 0.000)
Mn (0.640, 0.360, 0.360)
Mn (0.000, 0.500, 0.000)
Mn (0.000, 0.000, 0.500)
Mn (0.500, 0.777, 0.223)
Mn (0.000, 0.360, 0.640)
Mn (0.500, 0.223, 0.777)
Mn (0.360, 0.640, 0.640)
Mn (0.723, 0.777, 0.777)
Mn (0.500, 0.000, 0.500)
Mn (0.000, 0.640, 0.360)
Mn (0.277, 0.223, 0.223)
Zr (0.000, 0.000, 0.000)

Here is crystalline Tb2Co4GeP3 at its relaxed geometry from the Alexandria database. Energies are from PBE-GGA.

## Properties
* space-group type: P-4m2, No. 115
* ΔE_f: -0.90 eV per atom
* E_tot: -6.749 eV/atom

Unit cell a=3.936 b=3.936 c=9.276 alpha=90.00 beta=90.00 gamma=90.00
Fractional positions:
Co (0.500, 0.500, 0.000)
Co (0.500, 0.000, 0.628)
Co (0.000, 0.000, 0.000)
Co (0.000, 0.500, 0.372)
Ge (0.500, 0.500, 0.500)
P (0.500, 0.000, 0.870)
P (0.000, 0.500, 0.130)
P (0.000, 0.000, 0.500)
Tb (0.500, 0.000, 0.250)
Tb (0.000, 0.500, 0.750)

Here is crystalline CeTh5In at its relaxed geometry from the Alexandria database. Energies are from PBE-GGA.

## Properties
* space-group type: Imm2, No. 44
* ΔE_f: 1.01 eV per atom
* E_tot: -5.527 eV/atom

Unit cell a=6.310 b=8.310 c=7.684 alpha=122.73 beta=114.24 gamma=90.00
Fractional positions:
Th (0.840, 0.183, 0.000)
Th (0.840, 0.817, 0.000)
Th (0.647, 0.755, 0.509)
Th (0.137, 0.245, 0.491)
Th (0.119, 0.500, 0.000)
In (0.601, 0.500, 0.000)
Ce (0.348, 0.000, 0.000)